<1>
CdCuF3 | GGA-PBE | relaxed

Computed properties:
- D(E_F): 2.26 states/eV/f.u.

abc: 12.7662 3.6617 6.0069
angles: 90.00 97.19 90.00
With the nearest neighbours (Å) after each atom.
Space group C2/m (No. 12)
Unique sites:
Cd 0.2082 0.0000 0.2366 x4  7 F 2.30-2.39
Cu 0.0182 0.5000 0.7143 x4  2 F 1.92
F 0.0220 0.0000 0.2546 x4  2 Cu 1.92
F 0.1576 0.5000 0.0032 x4  1 Cu 2.32, 3 Cd 2.35-2.37
F 0.1964 0.0000 0.6155 x4  3 Cd 2.30-2.31

***

<2>
CdCuF3 | GGA-PBE | relaxed

Computed properties:
- D(E_F): 31.24 states/eV/f.u.

abc: 4.3831 4.3831 4.3831
angles: 90.00 90.00 90.00
With the nearest neighbours (Å) after each atom.
Space group Pm-3m (No. 221)
Unique sites:
Cd 0.0000 0.0000 0.0000 x1  6 F 2.19
Cu 0.5000 0.5000 0.5000 x1  12 F 3.10
F 0.0000 0.0000 0.5000 x3  2 Cd 2.19

***

Going by the energies, <1> is most stable and the next is 34.1 kJ/mol of atoms up.

***

<1>
Cd2CuF | GGA-PBE | relaxed

Computed properties:
- D(E_F): 1.27 states/eV/f.u.

abc: 6.4729 6.4729 6.4729
angles: 90.00 90.00 90.00
With the nearest neighbours (Å) after each atom.
Space group Fm-3m (No. 225)
Unique sites:
Cd 0.2500 0.2500 0.2500 x8  4 F 2.80, 4 Cu 2.80
Cu 0.0000 0.0000 0.0000 x4  8 Cd 2.80
F 0.0000 0.0000 0.5000 x4  8 Cd 2.80

***

<2>
Cd2CuF | GGA-PBE | relaxed

Computed properties:
- D(E_F): 0.38 states/eV/f.u.

abc: 6.7372 6.7372 6.3610
angles: 90.00 90.00 90.00
With the nearest neighbours (Å) after each atom.
Space group I-42d (No. 122)
Unique sites:
Cd 0.2248 0.2500 0.1250 x8  2 F 2.40, 2 Cu 2.63
Cu 0.0000 0.0000 0.5000 x4  4 Cd 2.63
F 0.0000 0.0000 0.0000 x4  4 Cd 2.40

***

Going by the energies, <2> is most stable and the next is 9.6 kJ/mol of atoms up.

***

<1>
Cd3CuF | GGA-PBE | relaxed

Computed properties:
- D(E_F): 2.00 states/eV/f.u.

abc: 4.6956 4.6956 4.6956
angles: 90.00 90.00 90.00
With the nearest neighbours (Å) after each atom.
Space group Pm-3m (No. 221)
Unique sites:
Cd 0.0000 0.0000 0.5000 x3  2 F 2.35
Cu 0.5000 0.5000 0.5000 x1  12 Cd 3.32
F 0.0000 0.0000 0.0000 x1  6 Cd 2.35

***

<2>
Cd3CuF | GGA-PBE | relaxed

Computed properties:
- D(E_F): 1.42 states/eV/f.u.

abc: 4.9933 4.9933 4.9933
angles: 90.00 90.00 90.00
With the nearest neighbours (Å) after each atom.
Space group Pm-3m (No. 221)
Unique sites:
Cd 0.0000 0.0000 0.5000 x3  2 Cu 2.50
Cu 0.0000 0.0000 0.0000 x1  6 Cd 2.50
F 0.5000 0.5000 0.5000 x1  12 Cd 3.53

***

Going by the energies, <2> is most stable and the next is 10.4 kJ/mol of atoms up.

***

<1>
CdCu2F | GGA-PBE | relaxed

Computed properties:
- D(E_F): 0.78 states/eV/f.u.

abc: 6.7020 6.7020 5.1467
angles: 90.00 90.00 90.00
With the nearest neighbours (Å) after each atom.
Space group I-42d (No. 122)
Unique sites:
Cd 0.0000 0.0000 0.0000 x4  2 F 2.57, 4 Cu 2.69
Cu 0.2015 0.2500 0.6250 x8  2 F 2.25
F 0.0000 0.0000 0.5000 x4  4 Cu 2.25

***

<2>
CdCu2F | GGA-PBE | relaxed

Computed properties:
- D(E_F): 1.40 states/eV/f.u.

abc: 6.1653 6.1653 6.1653
angles: 90.00 90.00 90.00
With the nearest neighbours (Å) after each atom.
Space group Fm-3m (No. 225)
Unique sites:
Cd 0.0000 0.0000 0.0000 x4  8 Cu 2.67
Cu 0.2500 0.2500 0.2500 x8  4 Cd 2.67, 4 F 2.67
F 0.0000 0.0000 0.5000 x4  8 Cu 2.67

***

Going by the energies, <1> is most stable and the next is 22.2 kJ/mol of atoms up.

***

<1>
CdCuN2F | GGA-PBE | relaxed

Computed properties:
- D(E_F): 1.49 states/eV/f.u.

abc: 3.7184 3.7184 4.4692
angles: 90.00 90.00 90.00
With the nearest neighbours (Å) after each atom.
Space group P4/mmm (No. 123)
Unique sites:
Cd 0.0000 0.0000 0.0000 x1  4 F 2.63, 8 N 2.91
Cu 0.5000 0.5000 0.5000 x1  4 N 1.86
N 0.0000 0.5000 0.5000 x2  2 Cu 1.86
F 0.5000 0.5000 0.0000 x1  2 Cu 2.23

***

<2>
CdCuN2F | GGA-PBE | relaxed

Computed properties:
- D(E_F): 2.49 states/eV/f.u.

abc: 4.2860 4.2860 4.3938
angles: 90.00 90.00 90.00
With the nearest neighbours (Å) after each atom.
Space group P4/mmm (No. 123)
Unique sites:
Cd 0.0000 0.0000 0.0000 x1  4 N 2.14, 2 F 2.20
Cu 0.5000 0.5000 0.5000 x1  4 F 3.03, 8 N 3.07
N 0.0000 0.5000 0.0000 x2  2 Cd 2.14
F 0.0000 0.0000 0.5000 x1  2 Cd 2.20

***

Going by the energies, <1> is most stable and the next is 67.4 kJ/mol of atoms up.

***

<1>
CdFeCu | GGA-PBE | relaxed

Computed properties:
- D(E_F): 2.36 states/eV/f.u.

abc: 4.3713 4.3713 2.7181
angles: 90.00 90.00 120.00
With the nearest neighbours (Å) after each atom.
Space group P3m1 (No. 156)
Unique sites:
Cd 0.0000 0.0000 0.0000 x1  3 Cu 2.71, 2 Cd 2.72, 6 Fe 2.76-2.99
Fe 0.6667 0.3333 0.5880 x1  3 Cu 2.60, 2 Fe 2.72, 3 Cd 2.76
Cu 0.3333 0.6667 0.3652 x1  3 Fe 2.60, 3 Cd 2.71, 2 Cu 2.72

***

<2>
CdFeCu | GGA-PBE | relaxed

Computed properties:
- D(E_F): 1.36 states/eV/f.u.

abc: 2.8092 2.8092 11.2716
angles: 90.00 90.00 90.00
With the nearest neighbours (Å) after each atom.
Space group I4mm (No. 107)
Unique sites:
Cd 0.0000 0.0000 0.0000 x2  4 Cd 2.81, 4 Cu 2.83, 4 Fe 2.85
Fe 0.0000 0.0000 0.6815 x2  4 Cu 2.53, 4 Fe 2.81
Cu 0.0000 0.0000 0.3211 x2  4 Fe 2.53, 4 Cu 2.81, 4 Cd 2.83

***

<3>
CdFeCu | GGA-PBE | relaxed

Computed properties:
- D(E_F): 0.92 states/eV/f.u.

abc: 5.9341 5.9341 5.9341
angles: 90.00 90.00 90.00
With the nearest neighbours (Å) after each atom.
Space group F-43m (No. 216)
Unique sites:
Cd 0.0000 0.0000 0.0000 x4  4 Cu 2.57
Fe 0.0000 0.0000 0.5000 x4  4 Cu 2.57
Cu 0.2500 0.2500 0.7500 x4  4 Cd 2.57, 4 Fe 2.57

***

Going by the energies, <2> is most stable and the next is 10.0 kJ/mol of atoms up.

***

<1>
Cd2FeCu | GGA-PBE | relaxed

Computed properties:
- D(E_F): 1.97 states/eV/f.u.

abc: 2.9567 2.9567 7.6028
angles: 90.00 90.00 90.00
With the nearest neighbours (Å) after each atom.
Space group P4mm (No. 99)
Unique sites:
Cd 0.0000 0.0000 0.0000 x1  4 Fe 2.84, 4 Cd 2.96
Cd 0.5000 0.5000 0.3169 x1  4 Cu 2.79, 4 Cd 2.96
Fe 0.5000 0.5000 0.7471 x1  4 Cu 2.53
Cu 0.0000 0.0000 0.5593 x1  4 Fe 2.53, 4 Cd 2.79

***

<2>
Cd2FeCu | GGA-PBE | relaxed

Computed properties:
- D(E_F): 3.33 states/eV/f.u.

abc: 4.1937 4.1937 3.7310
angles: 90.00 90.00 90.00
With the nearest neighbours (Å) after each atom.
Space group P4/mmm (No. 123)
Unique sites:
Cd 0.0000 0.5000 0.0000 x2  4 Fe 2.81, 4 Cu 2.81, 4 Cd 2.97
Fe 0.0000 0.0000 0.5000 x1  8 Cd 2.81, 4 Cu 2.97
Cu 0.5000 0.5000 0.5000 x1  8 Cd 2.81, 4 Fe 2.97

***

<3>
Cd2FeCu | GGA-PBE | relaxed

Computed properties:
- D(E_F): 3.76 states/eV/f.u.

abc: 4.0849 4.0849 7.9416
angles: 90.00 90.00 90.00
With the nearest neighbours (Å) after each atom.
Space group I-4m2 (No. 119)
Unique sites:
Cd 0.0000 0.0000 0.0000 x2  4 Cd 2.85, 4 Cu 2.85, 4 Fe 2.89
Cd 0.0000 0.5000 0.2500 x2  4 Cd 2.85, 4 Fe 2.85, 4 Cu 2.89
Fe 0.0000 0.0000 0.5000 x2  8 Cd 2.85-2.89, 4 Cu 2.85
Cu 0.0000 0.5000 0.7500 x2  8 Cd 2.85-2.89, 4 Fe 2.85

***

Going by the energies, <1> is most stable and the next is 7.0 kJ/mol of atoms up.

***

<1>
Cd2FeCu | GGA-PBE | relaxed

Computed properties:
- D(E_F): 6.20 states/eV/f.u.

abc: 6.4160 6.4160 6.4160
angles: 90.00 90.00 90.00
With the nearest neighbours (Å) after each atom.
Space group Fm-3m (No. 225)
Unique sites:
Cd 0.2500 0.2500 0.2500 x8  4 Cu 2.78, 4 Fe 2.78
Fe 0.0000 0.0000 0.0000 x4  8 Cd 2.78
Cu 0.0000 0.0000 0.5000 x4  8 Cd 2.78

***

<2>
Cd2FeCu | GGA-PBE | relaxed

Computed properties:
- D(E_F): 2.91 states/eV/f.u.

abc: 2.9238 4.7364 9.5833
angles: 90.00 90.00 90.00
With the nearest neighbours (Å) after each atom.
Space group Imm2 (No. 44)
Unique sites:
Cd 0.0000 0.0000 0.0000 x2  4 Fe 2.80, 2 Cu 2.83, 4 Cd 2.92-3.05
Cd 0.0000 0.5000 0.2208 x2  4 Cu 2.80, 2 Fe 2.83, 4 Cd 2.92-3.05
Fe 0.0000 0.0000 0.4684 x2  2 Cu 2.53, 6 Cd 2.80-2.83
Cu 0.0000 0.5000 0.7534 x2  2 Fe 2.53, 4 Cd 2.80

***

<3>
Cd2FeCu | GGA-PBE | relaxed

Computed properties:
- D(E_F): 2.63 states/eV/f.u.

abc: 2.8829 2.8829 27.6067
angles: 90.00 90.00 120.00
With the nearest neighbours (Å) after each atom.
Space group R-3m (No. 166, hexagonal axes)
Unique sites:
Cd 0.0000 0.0000 0.2493 x6  3 Cu 2.82, 3 Fe 2.86, 6 Cd 2.88
Fe 0.0000 0.0000 0.0000 x3  6 Cd 2.86, 6 Fe 2.88
Cu 0.0000 0.0000 0.5000 x3  6 Cd 2.82, 6 Cu 2.88

***

<4>
Cd2FeCu | GGA-PBE | relaxed

Computed properties:
- D(E_F): 4.26 states/eV/f.u.

abc: 6.4336 6.4336 6.4336
angles: 90.00 90.00 90.00
With the nearest neighbours (Å) after each atom.
Space group F-43m (No. 216)
Unique sites:
Cd 0.0000 0.0000 0.0000 x4  4 Cu 2.79, 4 Cd 2.79
Cd 0.2500 0.2500 0.2500 x4  4 Cd 2.79, 4 Fe 2.79
Fe 0.0000 0.0000 0.5000 x4  4 Cd 2.79, 4 Cu 2.79
Cu 0.2500 0.2500 0.7500 x4  4 Fe 2.79, 4 Cd 2.79

***

Going by the energies, <2> is most stable and the next is 1.1 kJ/mol of atoms up.

***

<1>
Cd2FeCu | GGA-PBE | relaxed

Computed properties:
- D(E_F): 2.88 states/eV/f.u.

abc: 10.1585 2.9175 4.7736
angles: 90.00 110.35 90.00
With the nearest neighbours (Å) after each atom.
Space group Cm (No. 8)
Unique sites:
Cd 0.0000 0.0000 0.0000 x2  4 Cu 2.80-2.84, 3 Fe 2.82-2.96, 4 Cd 2.92-3.10
Cd 0.2206 0.0000 0.6646 x2  4 Fe 2.80-2.83, 3 Cu 2.85-2.93, 4 Cd 2.92-3.10
Fe 0.2528 0.5000 0.1919 x2  2 Cu 2.55, 6 Cd 2.80-2.83
Cu 0.4639 0.0000 0.4691 x2  2 Fe 2.55, 6 Cd 2.80-2.85

***

<2>
Cd2FeCu | GGA-PBE | relaxed

Computed properties:
- D(E_F): 3.00 states/eV/f.u.

abc: 9.0882 2.8427 5.2449
angles: 90.00 99.04 90.00
With the nearest neighbours (Å) after each atom.
Space group C2/m (No. 12)
Unique sites:
Cd 0.2486 0.0000 0.2489 x4  3 Fe 2.79-2.83, 3 Cu 2.80-2.81, 6 Cd 2.84-2.99
Fe 0.0000 0.0000 0.5000 x2  6 Cd 2.79-2.83, 2 Fe 2.84, 4 Cu 2.98
Cu 0.0000 0.5000 0.0000 x2  6 Cd 2.80-2.81, 2 Cu 2.84, 4 Fe 2.98

***

Going by the energies, <1> is most stable and the next is 7.1 kJ/mol of atoms up.

***

<1>
CdFeCu2Sn | GGA-PBE | relaxed

Computed properties:
- D(E_F): 3.51 states/eV/f.u.

abc: 4.5827 4.5827 4.9696
angles: 90.00 90.00 90.00
With the nearest neighbours (Å) after each atom.
Space group P4/mmm (No. 123)
Unique sites:
Cd 0.0000 0.0000 0.0000 x1  2 Fe 2.48
Fe 0.0000 0.0000 0.5000 x1  4 Cu 2.29, 2 Cd 2.48
Cu 0.0000 0.5000 0.5000 x2  2 Fe 2.29
Sn 0.5000 0.5000 0.0000 x1  4 Cd 3.24, 8 Cu 3.38

***

<2>
CdFeCu2Sn | GGA-PBE | relaxed

Computed properties:
- D(E_F): 3.29 states/eV/f.u.

abc: 4.7456 4.7456 4.9216
angles: 90.00 90.00 90.00
With the nearest neighbours (Å) after each atom.
Space group P4/mmm (No. 123)
Unique sites:
Cd 0.0000 0.0000 0.0000 x1  4 Cu 2.37, 2 Fe 2.46
Fe 0.0000 0.0000 0.5000 x1  2 Cd 2.46
Cu 0.0000 0.5000 0.0000 x2  2 Cd 2.37
Sn 0.5000 0.5000 0.5000 x1  4 Fe 3.36, 8 Cu 3.42

***

Going by the energies, <1> is most stable and the next is 22.7 kJ/mol of atoms up.

***

<1>
Cd3GaCu | GGA-PBE | relaxed

Computed properties:
- D(E_F): 1.71 states/eV/f.u.

abc: 5.0121 5.0121 5.0121
angles: 90.00 90.00 90.00
With the nearest neighbours (Å) after each atom.
Space group Pm-3m (No. 221)
Unique sites:
Cd 0.0000 0.0000 0.5000 x3  2 Cu 2.51
Ga 0.5000 0.5000 0.5000 x1  12 Cd 3.54
Cu 0.0000 0.0000 0.0000 x1  6 Cd 2.51

***

<2>
Cd3GaCu | GGA-PBE | relaxed

Computed properties:
- D(E_F): 1.22 states/eV/f.u.

abc: 5.1503 5.1503 5.1503
angles: 90.00 90.00 90.00
With the nearest neighbours (Å) after each atom.
Space group Pm-3m (No. 221)
Unique sites:
Cd 0.0000 0.0000 0.5000 x3  2 Ga 2.58
Ga 0.0000 0.0000 0.0000 x1  6 Cd 2.58
Cu 0.5000 0.5000 0.5000 x1  12 Cd 3.64

***

Going by the energies, <1> is most stable and the next is 31.0 kJ/mol of atoms up.